(1)
# SrLa3Ir

A relaxed structure of SrLa3Ir (PBE, OQMD).

Values from the calculation:
The value obtained for the total energy is -5.39 eV per atom.

abc: 8.172 8.172 8.172
angles: 120.08 89.62 120.36
Atoms (fractional coordinates):
Sr  0.288  0.038  0.250
Sr  0.712  0.962  0.750
La  0.223  0.473  0.750
La  0.236  0.000  0.736
La  0.236  0.500  0.236
La  0.764  0.000  0.264
La  0.764  0.500  0.764
La  0.777  0.527  0.250
Ir  0.000  0.500  0.500
Ir  0.500  0.500  0.000

(2)
# LiZnInGa

A relaxed structure of LiZnInGa (PBE, OQMD).

Values from the calculation:
The value obtained for the total energy is -2.33 eV per atom.

abc: 4.706 4.706 4.706
angles: 60.00 60.00 60.00
Atoms (fractional coordinates):
Li  0.000  0.000  0.000
Zn  0.500  0.500  0.500
In  0.250  0.250  0.250
Ga  0.750  0.750  0.750

(3)
# ZnMoPt2

A relaxed structure of ZnMoPt2 (PBE, OQMD).

Values from the calculation:
The formation energy from the elements is -0.129 eV per atom.

abc: 4.421 4.421 4.421
angles: 60.00 60.00 60.00
Atoms (fractional coordinates):
Zn  0.000  0.000  0.000
Mo  0.250  0.250  0.250
Pt  0.500  0.500  0.500
Pt  0.750  0.750  0.750